# Mn3O4F2 GGA+U relaxed
data_Mn3O4F2
_space_group_name_H-M_alt 'P 1'
_space_group_IT_number 1
_cell_length_a 4.638
_cell_length_b 5.571
_cell_length_c 7.638
_cell_angle_alpha 86.44
_cell_angle_beta 88.05
_cell_angle_gamma 88.24
loop_
_space_group_symop_operation_xyz
'x,y,z'
loop_
_atom_site_label
_atom_site_type_symbol
_atom_site_fract_x
_atom_site_fract_y
_atom_site_fract_z
Mn1 Mn 0.000 0.000 0.000
Mn2 Mn 0.008 0.664 0.318
Mn3 Mn 0.028 0.341 0.674
Mn4 Mn 0.454 0.832 0.657
Mn5 Mn 0.509 0.171 0.335
Mn6 Mn 0.520 0.504 0.000
O1 O 0.190 0.375 0.433
O2 O 0.196 0.700 0.096
O3 O 0.202 0.034 0.771
O4 O 0.297 0.876 0.436
O5 O 0.314 0.544 0.764
O6 O 0.701 0.463 0.230
O7 O 0.803 0.956 0.227
O8 O 0.818 0.300 0.897
F1 F 0.312 0.200 0.097
F2 F 0.693 0.809 0.872
F3 F 0.700 0.128 0.580
F4 F 0.794 0.645 0.554
# * excess energy over the best structure of this formula in the dataset: 0.333 eV per formula unit
# * calculated density: 4.50 g/cm3

---

# Mn4O7F GGA+U relaxed
data_Mn4O7F
_space_group_name_H-M_alt 'P 1'
_space_group_IT_number 1
_cell_length_a 5.491
_cell_length_b 6.655
_cell_length_c 6.705
_cell_angle_alpha 95.99
_cell_angle_beta 91.17
_cell_angle_gamma 90.71
loop_
_space_group_symop_operation_xyz
'x,y,z'
loop_
_atom_site_label
_atom_site_type_symbol
_atom_site_fract_x
_atom_site_fract_y
_atom_site_fract_z
Mn1 Mn 0.000 0.000 0.000
Mn2 Mn 0.002 0.509 0.499
Mn3 Mn 0.297 0.264 0.749
Mn4 Mn 0.300 0.759 0.250
Mn5 Mn 0.498 0.765 0.744
Mn6 Mn 0.505 0.262 0.235
Mn7 Mn 0.778 0.527 0.003
Mn8 Mn 0.816 0.001 0.494
O1 O 0.033 0.231 0.552
O2 O 0.037 0.728 0.043
O3 O 0.044 0.787 0.448
O4 O 0.255 0.547 0.704
O5 O 0.256 0.983 0.802
O6 O 0.258 0.043 0.203
O7 O 0.258 0.478 0.294
O8 O 0.535 0.313 0.968
O9 O 0.535 0.721 0.027
O10 O 0.535 0.814 0.468
O11 O 0.750 0.560 0.720
O12 O 0.752 0.471 0.279
O13 O 0.760 0.968 0.778
O14 O 0.764 0.057 0.216
F1 F 0.013 0.298 0.966
F2 F 0.542 0.218 0.517
# * excess energy over the best structure of this formula in the dataset: 0.074 eV per formula unit
# * calculated density: 4.78 g/cm3

---

# Mn6O5F7 GGA+U relaxed
data_Mn6O5F7
_space_group_name_H-M_alt 'A m m 2'
_space_group_IT_number 38
_cell_length_a 9.356
_cell_length_b 7.261
_cell_length_c 6.356
_cell_angle_alpha 90.00
_cell_angle_beta 90.00
_cell_angle_gamma 90.00
loop_
_space_group_symop_operation_xyz
'x,y,z'
'-x,-y,z'
'-x,y,z'
'x,-y,z'
'x,y+1/2,z+1/2'
'-x,-y+1/2,z+1/2'
'-x,y+1/2,z+1/2'
'x,-y+1/2,z+1/2'
loop_
_atom_site_label
_atom_site_type_symbol
_atom_site_fract_x
_atom_site_fract_y
_atom_site_fract_z
Mn1 Mn 0.000 0.000 0.000
Mn2 Mn 0.165 0.000 0.501
Mn3 Mn 0.324 0.000 0.002
Mn4 Mn 0.500 0.000 0.471
O1 O 0.163 0.000 0.198
O2 O 0.165 0.000 0.803
O3 O 0.500 0.000 0.178
F1 F 0.000 0.187 0.501
F2 F 0.336 0.189 0.492
F3 F 0.500 0.000 0.788
# * excess energy over the best structure of this formula in the dataset: 0.025 eV per formula unit
# * calculated density: 4.17 g/cm3

---

# Mn6O7F5 GGA+U relaxed
data_Mn6O7F5
_space_group_name_H-M_alt 'C 1 2 1'
_space_group_IT_number 5
_cell_length_a 9.295
_cell_length_b 6.402
_cell_length_c 7.556
_cell_angle_alpha 90.00
_cell_angle_beta 115.04
_cell_angle_gamma 90.00
loop_
_space_group_symop_operation_xyz
'x,y,z'
'-x,y,-z'
'x+1/2,y+1/2,z'
'-x+1/2,y+1/2,-z'
loop_
_atom_site_label
_atom_site_type_symbol
_atom_site_fract_x
_atom_site_fract_y
_atom_site_fract_z
Mn1 Mn 0.000 0.000 0.000
Mn2 Mn 0.000 0.035 0.500
Mn3 Mn 0.166 0.503 0.174
Mn4 Mn 0.186 0.505 0.655
O1 O 0.000 0.332 0.500
O2 O 0.161 0.808 0.165
O3 O 0.162 0.195 0.168
O4 O 0.221 0.015 0.551
F1 F 0.000 0.717 0.500
F2 F 0.077 0.503 0.883
F3 F 0.095 0.002 0.814
# * excess energy over the best structure of this formula in the dataset: 0.239 eV per formula unit
# * calculated density: 4.37 g/cm3

---

# Mn2O3F GGA+U relaxed
data_Mn2O3F
_space_group_name_H-M_alt 'A m m 2'
_space_group_IT_number 38
_cell_length_a 15.152
_cell_length_b 6.326
_cell_length_c 6.642
_cell_angle_alpha 90.00
_cell_angle_beta 90.00
_cell_angle_gamma 90.00
loop_
_space_group_symop_operation_xyz
'x,y,z'
'-x,-y,z'
'-x,y,z'
'x,-y,z'
'x,y+1/2,z+1/2'
'-x,-y+1/2,z+1/2'
'-x,y+1/2,z+1/2'
'x,-y+1/2,z+1/2'
loop_
_atom_site_label
_atom_site_type_symbol
_atom_site_fract_x
_atom_site_fract_y
_atom_site_fract_z
Mn1 Mn 0.000 0.000 0.000
Mn2 Mn 0.100 0.000 0.467
Mn3 Mn 0.201 0.000 0.996
Mn4 Mn 0.301 0.000 0.462
Mn5 Mn 0.400 0.000 0.981
Mn6 Mn 0.500 0.000 0.507
O1 O 0.000 0.194 0.480
O2 O 0.099 0.000 0.177
O3 O 0.201 0.195 0.472
O4 O 0.301 0.000 0.173
O5 O 0.400 0.192 0.489
O6 O 0.500 0.000 0.796
F1 F 0.100 0.000 0.786
F2 F 0.296 0.000 0.768
F3 F 0.500 0.000 0.205
# * excess energy over the best structure of this formula in the dataset: 0.035 eV per formula unit
# * calculated density: 4.61 g/cm3

---

# Mn4O7F GGA+U relaxed
data_Mn4O7F
_space_group_name_H-M_alt 'C 1 c 1'
_space_group_IT_number 9
_cell_length_a 8.914
_cell_length_b 9.943
_cell_length_c 6.992
_cell_angle_alpha 90.00
_cell_angle_beta 128.37
_cell_angle_gamma 90.00
loop_
_space_group_symop_operation_xyz
'x,y,z'
'x,-y,z+1/2'
'x+1/2,y+1/2,z'
'x+1/2,-y+1/2,z+1/2'
loop_
_atom_site_label
_atom_site_type_symbol
_atom_site_fract_x
_atom_site_fract_y
_atom_site_fract_z
Mn1 Mn 0.000 0.001 0.000
Mn2 Mn 0.352 0.250 0.704
Mn3 Mn 0.352 0.253 0.202
Mn4 Mn 0.489 0.011 0.495
O1 O 0.097 0.165 0.960
O2 O 0.253 0.412 0.245
O3 O 0.255 0.082 0.743
O4 O 0.361 0.167 0.459
O5 O 0.371 0.336 0.969
O6 O 0.488 0.088 0.241
O7 O 0.495 0.413 0.748
F1 F 0.104 0.353 0.473
# * excess energy over the best structure of this formula in the dataset: 0.157 eV per formula unit
# * calculated density: 4.80 g/cm3

---

# Mn3OF5 GGA+U relaxed
data_Mn3OF5
_space_group_name_H-M_alt 'P 1 2/m 1'
_space_group_IT_number 10
_cell_length_a 4.936
_cell_length_b 3.219
_cell_length_c 14.758
_cell_angle_alpha 90.00
_cell_angle_beta 92.40
_cell_angle_gamma 90.00
loop_
_space_group_symop_operation_xyz
'x,y,z'
'-x,-y,-z'
'-x,y,-z'
'x,-y,z'
loop_
_atom_site_label
_atom_site_type_symbol
_atom_site_fract_x
_atom_site_fract_y
_atom_site_fract_z
Mn1 Mn 0.000 0.000 0.000
Mn2 Mn 0.016 0.000 0.672
Mn3 Mn 0.477 0.500 0.825
Mn4 Mn 0.500 0.500 0.500
O1 O 0.305 0.000 0.767
F1 F 0.189 0.500 0.268
F2 F 0.194 0.500 0.599
F3 F 0.203 0.500 0.938
F4 F 0.294 0.000 0.431
F5 F 0.316 0.000 0.108
# * excess energy over the best structure of this formula in the dataset: 0.188 eV per formula unit
# * calculated density: 3.91 g/cm3

---

# Mn6O5F7 GGA+U relaxed
data_Mn6O5F7
_space_group_name_H-M_alt 'P 1'
_space_group_IT_number 1
_cell_length_a 4.639
_cell_length_b 5.708
_cell_length_c 7.964
_cell_angle_alpha 86.94
_cell_angle_beta 89.18
_cell_angle_gamma 88.62
loop_
_space_group_symop_operation_xyz
'x,y,z'
loop_
_atom_site_label
_atom_site_type_symbol
_atom_site_fract_x
_atom_site_fract_y
_atom_site_fract_z
Mn1 Mn 0.000 0.000 0.000
Mn2 Mn 0.004 0.673 0.331
Mn3 Mn 0.030 0.313 0.643
Mn4 Mn 0.482 0.166 0.308
Mn5 Mn 0.504 0.850 0.691
Mn6 Mn 0.509 0.497 0.991
O1 O 0.197 0.029 0.777
O2 O 0.204 0.385 0.415
O3 O 0.314 0.220 0.087
O4 O 0.703 0.777 0.900
O5 O 0.816 0.963 0.228
F1 F 0.233 0.707 0.108
F2 F 0.289 0.536 0.768
F3 F 0.293 0.869 0.453
F4 F 0.679 0.139 0.542
F5 F 0.728 0.471 0.217
F6 F 0.786 0.293 0.871
F7 F 0.787 0.643 0.568
# * excess energy over the best structure of this formula in the dataset: 0.519 eV per formula unit
# * calculated density: 4.28 g/cm3

---

- Number 7 is which compound?
  Mn3OF5